First-principles (GGA-PBE) data for crystalline Sm2DyGe at its relaxed geometry, as listed in Alexandria via LeMat-Bulk.

Structure (POSCAR):
```
Sm2DyGe
1.0
-2.7071 -1.5130 3.6109
-0.1739 -4.2946 -1.9298
3.8713 -1.2294 2.3872
Sm Ge Dy
2 1 1
Direct
0.0000 0.5000 0.0000
0.0000 0.0000 0.5000
0.5000 0.5000 0.5000
0.5000 0.0000 0.0000
```

Calculated values
Its space group is P4/mmm. The calculation puts the density of states at the Fermi level at 4.18 states/eV per cell. For the calculated volume, the calculation gives 26.41 Å³ per atom. The crystal system is tetragonal. Its formation energy is -334 meV/atom.

First-principles (GGA-PBE) data for crystalline MnCoTcRh at its relaxed geometry, as listed in Alexandria via LeMat-Bulk.

Structure (POSCAR):
```
MnCoTcRh
1.0
4.2054 0.0000 0.0000
2.1027 3.6420 0.0000
2.1027 1.2140 3.4337
Co Tc Mn Rh
1 1 1 1
Direct
0.2500 0.2500 0.2500
0.5000 0.5000 0.5000
0.7500 0.7500 0.7500
0.0000 0.0000 0.0000
```

Calculated values
Its space group is F-43m. The calculation puts the density of states at the Fermi level at 7.99 states/eV per cell. For the calculated volume, the calculation gives 13.15 Å³ per atom. The crystal system is cubic. Its formation energy is 134 meV/atom.